## DyGeAsO (PBE-GGA)

Data for crystalline DyGeAsO at its relaxed geometry.

total magnetization: 0.000 μB per formula unit
excess energy over the best structure of this formula in the dataset: 2.01 eV/f.u.
calculated density: 6.88 g/cm³

Lattice parameters (Å, degrees): 5.676 5.676 4.883 90.00 90.00 90.00
Element x y z (fractional)
O: 0.750 0.250 0.000
O: 0.250 0.750 0.000
As: 0.750 0.750 0.498
As: 0.250 0.250 0.502
Ge: 0.750 0.750 0.998
Ge: 0.250 0.250 0.002
Dy: 0.250 0.750 0.500
Dy: 0.750 0.250 0.500


## Dy2TmFe3Co6 (PBE-GGA)

Data for crystalline Dy2TmFe3Co6 at its relaxed geometry.

total magnetization: 13.296 μB per formula unit
E_form: -187 meV/atom
calculated density: 9.69 g/cm³

Lattice parameters (Å, degrees): 8.392 8.392 8.392 35.04 35.04 35.04
Last column: magnetic moment on the atom in μB.
Element x y z (fractional)
Co: 0.418 0.919 0.418  1.32
Co: 0.919 0.418 0.418  1.19
Co: 0.582 0.582 0.081  1.20
Co: 0.582 0.081 0.582  1.32
Co: 0.418 0.418 0.919  1.20
Co: 0.081 0.582 0.582  1.19
Tm: 0.000 0.000 0.000  -0.35
Fe: 0.333 0.333 0.333  2.47
Fe: 0.500 0.500 0.500  2.28
Fe: 0.667 0.667 0.667  2.47
Dy: 0.859 0.859 0.859  -0.43
Dy: 0.141 0.141 0.141  -0.43